# Ba3Hg4Pb2Au2

A relaxed structure of Ba3Hg4Pb2Au2 (GGA-PBE, the Alexandria database).

## Properties
* magnetic moment: 0.00 μB per formula unit
* energy: -2.34 eV/atom

```
data_Ba3Hg4Pb2Au2
_chemical_formula_sum 'Ba3 Hg4 Pb2 Au2'
_symmetry_space_group_name_H-M 'P -3 m 1'
_symmetry_Int_Tables_number 164
_symmetry_space_group_name_Hall '-P 3 2"'
_cell_length_a 5.0147
_cell_length_b 5.0147
_cell_length_c 16.9563
_cell_angle_alpha 90.00
_cell_angle_beta 90.00
_cell_angle_gamma 120.00
loop_
_atom_site_label
_atom_site_fract_x
_atom_site_fract_y
_atom_site_fract_z
Ba1 0.0000 0.0000 0.0000
Ba2 0.0000 0.0000 0.2513
Hg1 0.3333 0.6667 0.3607
Hg2 0.3333 0.6667 0.8752
Pb1 0.3333 0.6667 0.5498
Au1 0.3333 0.6667 0.1272
```

=====

# Ba2Hg4PbAu3

A relaxed structure of Ba2Hg4PbAu3 (GGA-PBE, the Alexandria database).

## Properties
* magnetic moment: 0.00 μB per formula unit
* energy: -2.26 eV/atom

```
data_Ba2Hg4PbAu3
_chemical_formula_sum 'Ba2 Hg4 Pb1 Au3'
_symmetry_space_group_name_H-M 'P -4 m 2'
_symmetry_Int_Tables_number 115
_cell_length_a 4.718
_cell_length_b 4.718
_cell_length_c 12.772
_cell_angle_alpha 90.00
_cell_angle_beta 90.00
_cell_angle_gamma 90.00
loop_
_symmetry_equiv_pos_as_xyz
'x,y,z'
'y,-x,-z'
'-x,-y,z'
'-y,x,-z'
'-x,y,z'
'-y,-x,-z'
'x,-y,z'
'y,x,-z'
loop_
_atom_site_label
_atom_site_fract_x
_atom_site_fract_y
_atom_site_fract_z
Ba1 0.000 0.500 0.241
Hg1 0.000 0.000 0.000
Hg2 0.000 0.500 0.645
Hg3 0.500 0.500 0.000
Pb1 0.000 0.000 0.500
Au1 0.000 0.500 0.864
Au2 0.500 0.500 0.500
```

=====

# Ba2Hg3PbAu4

A relaxed structure of Ba2Hg3PbAu4 (GGA-PBE, the Alexandria database).

## Properties
* magnetic moment: 0.00 μB per formula unit
* energy: -2.58 eV/atom

```
data_Ba2Hg3PbAu4
_chemical_formula_sum 'Ba2 Hg3 Pb1 Au4'
_symmetry_space_group_name_H-M 'P -4 m 2'
_symmetry_Int_Tables_number 115
_cell_length_a 4.867
_cell_length_b 4.867
_cell_length_c 11.842
_cell_angle_alpha 90.00
_cell_angle_beta 90.00
_cell_angle_gamma 90.00
loop_
_symmetry_equiv_pos_as_xyz
'x,y,z'
'y,-x,-z'
'-x,-y,z'
'-y,x,-z'
'-x,y,z'
'-y,-x,-z'
'x,-y,z'
'y,x,-z'
loop_
_atom_site_label
_atom_site_fract_x
_atom_site_fract_y
_atom_site_fract_z
Ba1 0.000 0.500 0.237
Hg1 0.000 0.500 0.874
Hg2 0.500 0.500 0.500
Pb1 0.000 0.000 0.500
Au1 0.000 0.000 0.000
Au2 0.000 0.500 0.639
Au3 0.500 0.500 0.000
```

=====

# Ba2Hg4Pd3Au

A relaxed structure of Ba2Hg4Pd3Au (GGA-PBE, the Alexandria database).

## Properties
* magnetic moment: 0.00 μB per formula unit
* energy: -2.82 eV/atom

```
data_Ba2Hg4Pd3Au
_chemical_formula_sum 'Ba2 Hg4 Pd3 Au1'
_symmetry_space_group_name_H-M 'P -4 m 2'
_symmetry_Int_Tables_number 115
_cell_length_a 4.970
_cell_length_b 4.970
_cell_length_c 10.610
_cell_angle_alpha 90.00
_cell_angle_beta 90.00
_cell_angle_gamma 90.00
loop_
_symmetry_equiv_pos_as_xyz
'x,y,z'
'y,-x,-z'
'-x,-y,z'
'-y,x,-z'
'-x,y,z'
'-y,-x,-z'
'x,-y,z'
'y,x,-z'
loop_
_atom_site_label
_atom_site_fract_x
_atom_site_fract_y
_atom_site_fract_z
Ba1 0.000 0.500 0.240
Hg1 0.000 0.000 0.500
Hg2 0.000 0.500 0.871
Hg3 0.500 0.500 0.500
Pd1 0.000 0.000 0.000
Pd2 0.000 0.500 0.616
Au1 0.500 0.500 0.000
```